Record 1
# LiCrP4O12, relaxed, DFT GGA+U
data_LiCrP4O12
_chemical_formula_sum 'Li2 Cr2 P8 O24'
_symmetry_space_group_name_H-M 'P 1'
_symmetry_Int_Tables_number 1
_cell_length_a 10.607
_cell_length_b 10.607
_cell_length_c 5.208
_cell_angle_alpha 80.71
_cell_angle_beta 80.71
_cell_angle_gamma 71.31
loop_
_symmetry_equiv_pos_as_xyz
'x,y,z'
loop_
_atom_site_label
_atom_site_type_symbol
_atom_site_fract_x
_atom_site_fract_y
_atom_site_fract_z
Cr1 Cr 0.500 0.000 0.000
Cr2 Cr 0.000 0.500 0.000
O1 O 0.096 0.398 0.694
O2 O 0.080 0.711 0.367
O3 O 0.337 0.083 0.244
O4 O 0.602 0.904 0.306
O5 O 0.711 0.080 0.367
O6 O 0.435 0.842 0.008
O7 O 0.083 0.337 0.244
O8 O 0.904 0.602 0.306
O9 O 0.663 0.917 0.756
O10 O 0.441 0.680 0.684
O11 O 0.845 0.845 0.387
O12 O 0.917 0.663 0.756
O13 O 0.158 0.565 0.992
O14 O 0.398 0.096 0.694
O15 O 0.920 0.289 0.633
O16 O 0.155 0.155 0.613
O17 O 0.565 0.158 0.992
O18 O 0.559 0.320 0.316
O19 O 0.842 0.435 0.008
O20 O 0.232 0.768 0.000
O21 O 0.320 0.559 0.316
O22 O 0.768 0.232 0.000
O23 O 0.289 0.920 0.633
O24 O 0.680 0.441 0.684
P1 P 0.306 0.065 0.537
P2 P 0.935 0.694 0.463
P3 P 0.206 0.636 0.168
P4 P 0.364 0.794 0.832
P5 P 0.794 0.364 0.832
P6 P 0.065 0.306 0.537
P7 P 0.694 0.935 0.463
P8 P 0.636 0.206 0.168
Li1 Li 0.593 0.593 0.476
Li2 Li 0.407 0.407 0.524
# - excess energy over the best structure of this formula in the dataset (eV per atom) = 0.0332
# - total energy (eV per atom) = -7.175
# - N(E_F) (states/eV/cell) = 0.0

---

Record 2
# LiCrP2O7, relaxed, DFT GGA+U
data_LiCrP2O7
_chemical_formula_sum 'Li2 Cr2 P4 O14'
_symmetry_space_group_name_H-M 'P 1'
_symmetry_Int_Tables_number 1
_cell_length_a 8.181
_cell_length_b 4.868
_cell_length_c 6.999
_cell_angle_alpha 71.52
_cell_angle_beta 90.00
_cell_angle_gamma 90.00
loop_
_symmetry_equiv_pos_as_xyz
'x,y,z'
loop_
_atom_site_label
_atom_site_type_symbol
_atom_site_fract_x
_atom_site_fract_y
_atom_site_fract_z
P1 P 0.568 0.602 0.023
P2 P 0.965 0.785 0.586
P3 P 0.068 0.398 0.977
P4 P 0.465 0.215 0.414
O1 O 0.710 0.817 0.981
O2 O 0.210 0.183 0.019
O3 O 0.055 0.865 0.384
O4 O 0.402 0.752 0.010
O5 O 0.925 0.051 0.646
O6 O 0.598 0.407 0.253
O7 O 0.098 0.593 0.747
O8 O 0.569 0.402 0.892
O9 O 0.902 0.248 0.990
O10 O 0.555 0.135 0.616
O11 O 0.069 0.598 0.108
O12 O 0.425 0.949 0.354
O13 O 0.315 0.402 0.417
O14 O 0.815 0.598 0.583
Cr1 Cr 0.749 0.215 0.771
Cr2 Cr 0.249 0.785 0.229
Li1 Li 0.386 0.180 0.825
Li2 Li 0.886 0.820 0.175
# - excess energy over the best structure of this formula in the dataset (eV per atom) = 0.0000
# - total energy (eV per atom) = -7.227
# - N(E_F) (states/eV/cell) = 0.0

---

Record 3
# Li5Cr3P4O16, relaxed, DFT GGA+U
data_Li5Cr3P4O16
_chemical_formula_sum 'Li5 Cr3 P4 O16'
_symmetry_space_group_name_H-M 'P 1'
_symmetry_Int_Tables_number 1
_cell_length_a 5.027
_cell_length_b 8.016
_cell_length_c 8.558
_cell_angle_alpha 109.57
_cell_angle_beta 90.48
_cell_angle_gamma 105.02
loop_
_symmetry_equiv_pos_as_xyz
'x,y,z'
loop_
_atom_site_label
_atom_site_type_symbol
_atom_site_fract_x
_atom_site_fract_y
_atom_site_fract_z
O1 O 0.805 0.733 0.502
O2 O 0.744 0.876 0.886
O3 O 0.584 0.526 0.746
O4 O 0.403 0.466 0.259
O5 O 0.803 0.029 0.308
O6 O 0.707 0.298 0.053
O7 O 0.201 0.977 0.685
O8 O 0.251 0.660 0.578
O9 O 0.247 0.828 0.371
O10 O 0.737 0.668 0.054
O11 O 0.289 0.704 0.951
O12 O 0.760 0.169 0.622
O13 O 0.254 0.334 0.954
O14 O 0.200 0.271 0.494
O15 O 0.254 0.114 0.107
O16 O 0.757 0.350 0.427
Li1 Li 0.774 0.960 0.694
Li2 Li 0.209 0.020 0.291
Li3 Li 0.165 0.896 0.894
Li4 Li 0.830 0.095 0.100
Li5 Li 0.608 0.766 0.292
Cr1 Cr 0.004 0.509 0.015
Cr2 Cr 0.412 0.247 0.723
Cr3 Cr 0.501 0.503 0.499
P1 P 0.872 0.206 0.464
P2 P 0.132 0.794 0.525
P3 P 0.410 0.303 0.099
P4 P 0.586 0.695 0.909
# - total energy (eV per atom) = -6.995
# - N(E_F) (states/eV/cell) = 0.0

---

Record 4
# LiCrP4O12, relaxed, DFT GGA+U
data_LiCrP4O12
_chemical_formula_sum 'Li4 Cr4 P16 O48'
_symmetry_space_group_name_H-M 'P 1'
_symmetry_Int_Tables_number 1
_cell_length_a 8.907
_cell_length_b 7.585
_cell_length_c 14.748
_cell_angle_alpha 69.44
_cell_angle_beta 90.00
_cell_angle_gamma 90.00
loop_
_symmetry_equiv_pos_as_xyz
'x,y,z'
loop_
_atom_site_label
_atom_site_type_symbol
_atom_site_fract_x
_atom_site_fract_y
_atom_site_fract_z
O1 O 0.668 0.117 0.749
O2 O 0.330 0.182 0.107
O3 O 0.574 0.697 0.362
O4 O 0.670 0.818 0.893
O5 O 0.128 0.745 0.128
O6 O 0.431 0.493 0.275
O7 O 0.681 0.614 0.534
O8 O 0.074 0.303 0.138
O9 O 0.078 0.981 0.340
O10 O 0.422 0.981 0.840
O11 O 0.056 0.170 0.769
O12 O 0.426 0.303 0.638
O13 O 0.196 0.514 0.589
O14 O 0.922 0.019 0.660
O15 O 0.804 0.486 0.411
O16 O 0.372 0.745 0.628
O17 O 0.696 0.486 0.911
O18 O 0.304 0.514 0.089
O19 O 0.628 0.255 0.372
O20 O 0.578 0.019 0.160
O21 O 0.666 0.236 0.544
O22 O 0.181 0.386 0.966
O23 O 0.926 0.697 0.862
O24 O 0.120 0.855 0.548
O25 O 0.569 0.507 0.725
O26 O 0.931 0.507 0.225
O27 O 0.854 0.412 0.684
O28 O 0.830 0.818 0.393
O29 O 0.556 0.830 0.731
O30 O 0.319 0.386 0.466
O31 O 0.819 0.614 0.034
O32 O 0.380 0.855 0.048
O33 O 0.872 0.255 0.872
O34 O 0.168 0.883 0.751
O35 O 0.069 0.493 0.775
O36 O 0.646 0.412 0.184
O37 O 0.170 0.182 0.607
O38 O 0.166 0.764 0.956
O39 O 0.334 0.764 0.456
O40 O 0.444 0.170 0.269
O41 O 0.944 0.830 0.231
O42 O 0.332 0.883 0.251
O43 O 0.880 0.145 0.452
O44 O 0.354 0.588 0.816
O45 O 0.834 0.236 0.044
O46 O 0.832 0.117 0.249
O47 O 0.146 0.588 0.316
O48 O 0.620 0.145 0.952
Cr1 Cr 0.145 0.637 0.856
Cr2 Cr 0.355 0.637 0.356
Cr3 Cr 0.645 0.363 0.644
Cr4 Cr 0.855 0.363 0.144
P1 P 0.209 0.345 0.073
P2 P 0.749 0.269 0.450
P3 P 0.069 0.048 0.699
P4 P 0.542 0.347 0.270
P5 P 0.251 0.731 0.550
P6 P 0.042 0.653 0.230
P7 P 0.431 0.048 0.199
P8 P 0.931 0.952 0.301
P9 P 0.458 0.653 0.730
P10 P 0.751 0.269 0.950
P11 P 0.958 0.347 0.770
P12 P 0.709 0.655 0.427
P13 P 0.791 0.655 0.927
P14 P 0.249 0.731 0.050
P15 P 0.291 0.345 0.573
P16 P 0.569 0.952 0.801
Li1 Li 0.406 0.101 0.932
Li2 Li 0.094 0.101 0.432
Li3 Li 0.906 0.899 0.568
Li4 Li 0.594 0.899 0.068
# - excess energy over the best structure of this formula in the dataset (eV per atom) = 0.0637
# - total energy (eV per atom) = -7.145
# - N(E_F) (states/eV/cell) = 0.0

---

Record 5
# LiCrP2O7, relaxed, DFT GGA+U
data_LiCrP2O7
_chemical_formula_sum 'Li4 Cr4 P8 O28'
_symmetry_space_group_name_H-M 'P 1'
_symmetry_Int_Tables_number 1
_cell_length_a 8.143
_cell_length_b 6.873
_cell_length_c 9.404
_cell_angle_alpha 71.98
_cell_angle_beta 90.00
_cell_angle_gamma 90.00
loop_
_symmetry_equiv_pos_as_xyz
'x,y,z'
loop_
_atom_site_label
_atom_site_type_symbol
_atom_site_fract_x
_atom_site_fract_y
_atom_site_fract_z
O1 O 0.576 0.472 0.366
O2 O 0.424 0.528 0.634
O3 O 0.907 0.406 0.365
O4 O 0.584 0.113 0.127
O5 O 0.737 0.510 0.607
O6 O 0.674 0.076 0.396
O7 O 0.076 0.528 0.134
O8 O 0.445 0.855 0.342
O9 O 0.055 0.855 0.842
O10 O 0.613 0.776 0.703
O11 O 0.945 0.145 0.158
O12 O 0.174 0.924 0.104
O13 O 0.916 0.113 0.627
O14 O 0.555 0.145 0.658
O15 O 0.326 0.924 0.604
O16 O 0.084 0.887 0.373
O17 O 0.407 0.594 0.135
O18 O 0.263 0.490 0.393
O19 O 0.093 0.594 0.635
O20 O 0.763 0.510 0.107
O21 O 0.924 0.472 0.866
O22 O 0.593 0.406 0.865
O23 O 0.237 0.490 0.893
O24 O 0.826 0.076 0.896
O25 O 0.887 0.776 0.203
O26 O 0.113 0.224 0.797
O27 O 0.387 0.224 0.297
O28 O 0.416 0.887 0.873
P1 P 0.533 0.060 0.293
P2 P 0.409 0.458 0.299
P3 P 0.467 0.940 0.707
P4 P 0.591 0.542 0.701
P5 P 0.091 0.458 0.799
P6 P 0.909 0.542 0.201
P7 P 0.033 0.940 0.207
P8 P 0.967 0.060 0.793
Li1 Li 0.601 0.751 0.035
Li2 Li 0.899 0.751 0.535
Li3 Li 0.399 0.249 0.965
Li4 Li 0.101 0.249 0.465
Cr1 Cr 0.222 0.719 0.994
Cr2 Cr 0.722 0.281 0.506
Cr3 Cr 0.278 0.719 0.494
Cr4 Cr 0.778 0.281 0.006
# - excess energy over the best structure of this formula in the dataset (eV per atom) = 0.0315
# - total energy (eV per atom) = -7.196
# - N(E_F) (states/eV/cell) = 0.0

---

Record 6
# Li2CrP2O7, relaxed, DFT GGA+U
data_Li2CrP2O7
_chemical_formula_sum 'Li4 Cr2 P4 O14'
_symmetry_space_group_name_H-M 'P 1'
_symmetry_Int_Tables_number 1
_cell_length_a 5.329
_cell_length_b 7.142
_cell_length_c 8.615
_cell_angle_alpha 90.00
_cell_angle_beta 90.00
_cell_angle_gamma 110.22
loop_
_symmetry_equiv_pos_as_xyz
'x,y,z'
loop_
_atom_site_label
_atom_site_type_symbol
_atom_site_fract_x
_atom_site_fract_y
_atom_site_fract_z
Li1 Li 0.240 0.903 0.829
Li2 Li 0.760 0.097 0.329
Li3 Li 0.583 0.364 0.153
Li4 Li 0.417 0.636 0.653
O1 O 0.108 0.068 0.699
O2 O 0.370 0.116 0.296
O3 O 0.880 0.385 0.285
O4 O 0.283 0.480 0.464
O5 O 0.892 0.932 0.199
O6 O 0.831 0.250 0.832
O7 O 0.630 0.884 0.796
O8 O 0.717 0.520 0.964
O9 O 0.647 0.475 0.675
O10 O 0.702 0.102 0.559
O11 O 0.298 0.898 0.059
O12 O 0.120 0.615 0.785
O13 O 0.169 0.750 0.332
O14 O 0.353 0.525 0.175
Cr1 Cr 0.542 0.732 0.010
Cr2 Cr 0.458 0.268 0.510
P1 P 0.834 0.477 0.811
P2 P 0.826 0.071 0.714
P3 P 0.166 0.523 0.311
P4 P 0.174 0.929 0.214
# - excess energy over the best structure of this formula in the dataset (eV per atom) = 0.0198
# - total energy (eV per atom) = -6.978
# - N(E_F) (states/eV/cell) = 0.0